This record from Alexandria describes a relaxed Rb2YHSe crystal. The functional is PBE.

Cell and atoms, written as POSCAR:
```
Rb2YHSe
1.0
7.244 0.000 0.000
0.000 7.244 0.000
0.000 0.000 3.720
Rb Y H Se
2 1 1 1
Direct
0.000 0.500 0.000 Rb
0.500 0.000 0.000 Rb
0.000 0.000 0.500 Y
0.500 0.500 0.500 H
0.500 0.500 0.000 Se
```

## Properties
Crystal system = tetragonal
Size of the total moment = 2.04 μB/cell
Energy = -13.71 eV/cell
V = 195.18 Å³ per cell



This record from Alexandria describes a relaxed La2CoPdN crystal. The functional is PBE.

Cell and atoms, written as POSCAR:
```
La2CoPdN
1.0
5.250 0.000 0.000
0.000 5.250 0.000
0.000 0.000 3.596
La Co Pd N
2 1 1 1
Direct
0.000 0.500 0.000 La
0.500 0.000 0.000 La
0.000 0.000 0.500 Co
0.500 0.500 0.500 Pd
0.000 0.000 0.000 N
```

## Properties
Crystal system = tetragonal
Size of the total moment = 0.00 μB/cell
Energy = -34.61 eV/cell
V = 99.10 Å³ per cell
Energy relative to the elements, uncorrected = -0.827 eV per atom



This record from Alexandria describes a relaxed Y2CdRh crystal. The functional is PBE.

Cell and atoms, written as POSCAR:
```
Y2CdRh
1.0
-4.038 4.038 3.106
4.038 -4.038 3.106
4.038 4.038 -3.106
Y Cd Rh
4 2 2
Direct
0.071 0.625 0.946 Y
0.375 0.321 0.446 Y
0.679 0.125 0.054 Y
0.875 0.929 0.554 Y
0.250 0.750 0.500 Cd
0.500 0.500 0.000 Cd
0.000 0.000 0.000 Rh
0.750 0.250 0.500 Rh
```

## Properties
Crystal system = tetragonal
E_form = -82 kJ/mol of formula units
Size of the total moment = 0.00 μB/cell
Energy = -44.08 eV/cell
V = 202.55 Å³ per cell